DFT (PBE with a Hubbard U) results for an optimized crystal structure of Ca2FeIO6.

Cell lengths 5.6304, 5.6304, 14.5197 Å; angles 90.00, 90.00, 120.00 degrees
Space group R3 (No. 146, hexagonal axes)
Inequivalent atoms, fractional coordinates:
1 Ca 0.0000 0.0000 0.0000 (multiplicity 3)
2 Ca 0.0000 0.0000 0.4948 (multiplicity 3)
3 Fe 0.0000 0.0000 0.7264 (multiplicity 3)
4 I 0.0000 0.0000 0.2214 (multiplicity 3)
5 O 0.0655 0.7296 0.7866 (multiplicity 9)
6 O 0.0774 0.3403 0.2900 (multiplicity 9)

## Properties
- Final energy: -57.8 eV per formula unit

DFT (PBE with a Hubbard U) results for an optimized crystal structure of CaFeIO2.

Cell lengths 4.1450, 4.1450, 5.3720 Å; angles 90.00, 90.00, 90.00 degrees
Space group P4/mmm (No. 123)
Inequivalent atoms, fractional coordinates:
1 Ca 0.0000 0.0000 0.0000 (multiplicity 1)
2 Fe 0.5000 0.5000 0.5000 (multiplicity 1)
3 I 0.5000 0.5000 0.0000 (multiplicity 1)
4 O 0.0000 0.5000 0.5000 (multiplicity 2)

## Properties
- E above lowest polymorph: 0.000 kcal/mol of atoms
- Final energy: -23.7 eV per formula unit
- D(E_F): 0.77 states/eV/f.u.

DFT (PBE with a Hubbard U) results for an optimized crystal structure of CaFeIO2.

Cell lengths 4.3913, 4.3913, 6.2016 Å; angles 90.00, 90.00, 90.00 degrees
Space group P4/mmm (No. 123)
Inequivalent atoms, fractional coordinates:
1 Ca 0.0000 0.0000 0.0000 (multiplicity 1)
2 Fe 0.5000 0.5000 0.5000 (multiplicity 1)
3 I 0.0000 0.0000 0.5000 (multiplicity 1)
4 O 0.0000 0.5000 0.0000 (multiplicity 2)

## Properties
- E above lowest polymorph: 12.423 kcal/mol of atoms
- Final energy: -21.0 eV per formula unit
- D(E_F): 3.34 states/eV/f.u.

> The lowest final energy belongs to which entry?

Ca2FeIO6